Entry from Alexandria via LeMat-Bulk: a relaxed structure of DySnBr (GGA-PBE).

Its total energy is -3.983 eV/atom. For the formation energy from raw total energies, the calculation gives -1.7 eV/f.u. For the magnetization, the calculation gives 0.0 μB per formula unit.

It has space group C2/m (No. 12), with a = 9.9464 Å, b = 3.6107 Å, c = 10.3548 Å, α = 90.00°, β = 92.91° and γ = 90.00°. The inequivalent atoms are Dy at (0.1687, 0.0000, 0.3769), Sn at (0.1419, 0.0000, 0.0678) and Br at (0.1101, 0.0000, 0.6637).